# 1
! Sm8Ir2Au (GGA-PBE, relaxed); values from VASP
&SYSTEM
  ibrav = 0, nat = 11, ntyp = 3
/
ATOMIC_SPECIES
Sm 150.36 Sm.upf
Ir 192.22 Ir.upf
Au 196.97 Au.upf
CELL_PARAMETERS angstrom
6.066 0.169 -0.948
-1.864 6.894 -2.851
-0.023 -0.059 7.689
ATOMIC_POSITIONS crystal
Sm 0.592 0.343 0.078
Sm 0.592 0.078 0.343
Sm 0.184 0.374 0.374
Sm 0.986 0.226 0.771
Sm 0.986 0.771 0.226
Sm 0.791 0.640 0.640
Sm 0.374 0.929 0.660
Sm 0.374 0.660 0.929
Ir 0.489 0.691 0.316
Ir 0.489 0.316 0.691
Au 0.143 0.005 0.005
! ΔE_f, eV/atom: -0.383
! Calculated volume, Å³/cell: 322.8

=====

# 2
! Sm6IrAu2 (GGA-PBE, relaxed); values from VASP
&SYSTEM
  ibrav = 0, nat = 18, ntyp = 3
/
ATOMIC_SPECIES
Sm 150.36 Sm.upf
Ir 192.22 Ir.upf
Au 196.97 Au.upf
CELL_PARAMETERS angstrom
-0.803 -6.389 2.408
0.131 -2.655 -7.000
10.424 -0.584 0.417
ATOMIC_POSITIONS crystal
Sm 0.855 0.968 0.246
Sm 0.824 0.681 0.569
Sm 0.827 0.690 0.936
Sm 0.673 0.190 0.564
Sm 0.676 0.181 0.931
Sm 0.645 0.468 0.254
Sm 0.145 0.032 0.754
Sm 0.176 0.319 0.431
Sm 0.173 0.310 0.064
Sm 0.327 0.810 0.436
Sm 0.324 0.819 0.069
Sm 0.355 0.532 0.746
Ir 0.500 0.500 0.000
Ir 0.000 0.000 0.500
Au 0.946 0.391 0.765
Au 0.554 0.891 0.735
Au 0.446 0.109 0.265
Au 0.054 0.609 0.235
! ΔE_f, eV/atom: -0.531
! Calculated volume, Å³/cell: 537.2

=====

# 3
! Sm8IrAu2 (GGA-PBE, relaxed); values from VASP
&SYSTEM
  ibrav = 0, nat = 11, ntyp = 3
/
ATOMIC_SPECIES
Sm 150.36 Sm.upf
Ir 192.22 Ir.upf
Au 196.97 Au.upf
CELL_PARAMETERS angstrom
5.992 -0.324 -1.260
-2.663 7.321 -4.812
-0.255 -1.776 8.979
ATOMIC_POSITIONS crystal
Sm 0.640 0.407 0.167
Sm 0.640 0.167 0.407
Sm 0.092 0.257 0.257
Sm 0.980 0.191 0.799
Sm 0.980 0.799 0.191
Sm 0.782 0.723 0.723
Sm 0.312 0.844 0.615
Sm 0.312 0.615 0.844
Ir 0.302 0.013 0.013
Au 0.480 0.740 0.277
Au 0.480 0.277 0.740
! ΔE_f, eV/atom: -0.372
! Calculated volume, Å³/cell: 326.2
! E above lowest polymorph, eV per atom: 0.074

=====

Fermi-level density of states, respectively: 12.841; 18.819; 12.638 states/eV per cell.